Compound: Sn2Bi3Pb2
Source: the Alexandria database
Functional: PBE
Structure: optimized geometry

* VASP energy: -3.81 eV/atom
* energy relative to the elements: 58 meV per atom
* calculated volume: 225 Å³/cell
* magnetic moment: 0.00 μB/cell
* space-group type: P-1

POSCAR file:
```
Sn2Bi3Pb2
1.0
4.6639 0.0000 0.0000
1.3765 6.6161 0.0000
0.2958 1.5185 7.3017
Sn Bi Pb
2 3 2
direct
0.2223 0.1233 0.0673
0.7777 0.8767 0.9327
0.0748 0.7151 0.3494
0.5000 0.0000 0.5000
0.9252 0.2849 0.6506
0.3360 0.5812 0.7926
0.6640 0.4188 0.2074
```

---

Compound: Ca2Nd8Dy3
Source: the Alexandria database
Functional: PBE
Structure: optimized geometry

* VASP energy: -4.11 eV/atom
* energy relative to the elements: 191 meV per atom
* calculated volume: 463 Å³/cell
* magnetic moment: 0.00 μB/cell
* space-group type: C2/m

POSCAR file:
```
Ca2Nd8Dy3
1.0
9.2500 -3.9672 0.0000
9.2500 3.9672 0.0000
-1.4313 0.0000 6.3100
Ca Nd Dy
2 8 3
direct
0.1532 0.1532 0.2734
0.8468 0.8468 0.7266
0.0424 0.0424 0.7193
0.1066 0.5470 0.2217
0.3296 0.3296 0.7203
0.4530 0.8934 0.7783
0.5470 0.1066 0.2217
0.6704 0.6704 0.2797
0.8934 0.4530 0.7783
0.9576 0.9576 0.2807
0.3044 0.6956 0.0000
0.5000 0.5000 0.5000
0.6956 0.3044 0.0000
```

---

Compound: Th2CrCo12Si3
Source: the Alexandria database
Functional: PBE
Structure: optimized geometry

* formation energy without anion corrections: 1.85 eV/f.u.
* VASP energy: -6.90 eV/atom
* calculated volume: 256 Å³/cell
* magnetic moment: 6.43 μB/cell
* space-group type: R-3m

POSCAR file:
```
Th2CrCo12Si3
1.0
3.0419 1.7563 7.9740
-3.0419 1.7563 7.9740
0.0000 -3.5125 7.9740
Th Cr Co Si
2 1 12 3
direct
0.1568 0.1568 0.1568
0.8432 0.8432 0.8432
0.5000 0.5000 0.5000
0.0862 0.0862 0.6826
0.0862 0.6826 0.0862
0.1508 0.5682 0.5682
0.3174 0.9138 0.9138
0.4318 0.4318 0.8492
0.4318 0.8492 0.4318
0.5682 0.1508 0.5682
0.5682 0.5682 0.1508
0.6826 0.0862 0.0862
0.8492 0.4318 0.4318
0.9138 0.3174 0.9138
0.9138 0.9138 0.3174
0.0000 0.5000 0.5000
0.5000 0.0000 0.5000
0.5000 0.5000 0.0000
```